# 1
# ErTmHgAu

A geometry-optimized ErTmHgAu structure (PBE, the Alexandria database).

Structure (CIF):
```
data_ErTmHgAu
_cell_length_a 3.638
_cell_length_b 3.638
_cell_length_c 7.180
_cell_angle_alpha 90.00
_cell_angle_beta 90.00
_cell_angle_gamma 90.00
_symmetry_space_group_name_H-M 'P 4 m m'
_symmetry_Int_Tables_number 99
_symmetry_space_group_name_Hall 'P 4 -2'
loop_
_atom_site_label
_atom_site_fract_x
_atom_site_fract_y
_atom_site_fract_z
Er1 0.000 0.000 0.000
Tm1 0.000 0.000 0.522
Hg1 0.500 0.500 0.263
Au1 0.500 0.500 0.758
```

Calculated values
**Calculated volume**: 95.01 Å³ per cell
**Size of the total moment**: 0.00 μB per formula unit
**Energy of formation**: -66.1 kJ/mol of atoms


# 2
# ErZnHgAu

A geometry-optimized ErZnHgAu structure (PBE, the Alexandria database).

Structure (CIF):
```
data_ErZnHgAu
_cell_length_a 6.884
_cell_length_b 6.884
_cell_length_c 6.884
_cell_angle_alpha 90.00
_cell_angle_beta 90.00
_cell_angle_gamma 90.00
_symmetry_space_group_name_H-M 'F -4 3 m'
_symmetry_Int_Tables_number 216
_symmetry_space_group_name_Hall 'F -4 2 3'
loop_
_atom_site_label
_atom_site_fract_x
_atom_site_fract_y
_atom_site_fract_z
Er1 0.000 0.000 0.000
Zn1 0.000 0.000 0.500
Hg1 0.250 0.250 0.750
Au1 0.250 0.250 0.250
```

Calculated values
**Calculated volume**: 326.22 Å³ per cell
**Size of the total moment**: 0.00 μB per formula unit
**Energy of formation**: -45.4 kJ/mol of atoms


# 3
# ErZrHgAu

A geometry-optimized ErZrHgAu structure (PBE, the Alexandria database).

Structure (CIF):
```
data_ErZrHgAu
_cell_length_a 7.109
_cell_length_b 7.109
_cell_length_c 7.109
_cell_angle_alpha 90.00
_cell_angle_beta 90.00
_cell_angle_gamma 90.00
_symmetry_space_group_name_H-M 'F -4 3 m'
_symmetry_Int_Tables_number 216
_symmetry_space_group_name_Hall 'F -4 2 3'
loop_
_atom_site_label
_atom_site_fract_x
_atom_site_fract_y
_atom_site_fract_z
Er1 0.000 0.000 0.000
Zr1 0.000 0.000 0.500
Hg1 0.250 0.250 0.250
Au1 0.250 0.250 0.750
```

Calculated values
**Calculated volume**: 359.34 Å³ per cell
**Size of the total moment**: 0.79 μB per formula unit
**Energy of formation**: -41.1 kJ/mol of atoms


# 4
# HoErAu

A geometry-optimized HoErAu structure (PBE, the Alexandria database).

Structure (CIF):
```
data_HoErAu
_cell_length_a 4.8815
_cell_length_b 4.8815
_cell_length_c 3.7779
_cell_angle_alpha 90.00
_cell_angle_beta 90.00
_cell_angle_gamma 120.00
_symmetry_space_group_name_H-M 'P 3 m 1'
_symmetry_Int_Tables_number 156
_symmetry_space_group_name_Hall 'P 3 -2"'
loop_
_atom_site_label
_atom_site_fract_x
_atom_site_fract_y
_atom_site_fract_z
Ho1 0.0000 0.0000 0.0000
Er1 0.3333 0.6667 0.5257
Au1 0.6667 0.3333 0.2705
```

Calculated values
**Calculated volume**: 77.96 Å³ per cell
**Size of the total moment**: 0.00 μB per formula unit
**Energy of formation**: -41.6 kJ/mol of atoms


# 5
# HoErAu

A geometry-optimized HoErAu structure (PBE, the Alexandria database).

Structure (CIF):
```
data_HoErAu
_cell_length_a 3.569
_cell_length_b 3.569
_cell_length_c 12.215
_cell_angle_alpha 90.00
_cell_angle_beta 90.00
_cell_angle_gamma 90.00
_symmetry_space_group_name_H-M 'I 4 m m'
_symmetry_Int_Tables_number 107
_symmetry_space_group_name_Hall 'I 4 -2'
loop_
_atom_site_label
_atom_site_fract_x
_atom_site_fract_y
_atom_site_fract_z
Ho1 0.000 0.000 0.000
Er1 0.000 0.000 0.710
Au1 0.000 0.000 0.353
```

Calculated values
**Calculated volume**: 155.63 Å³ per cell
**Size of the total moment**: 0.88 μB per formula unit
**Energy of formation**: -52.7 kJ/mol of atoms


# 6
# HoErAu

A geometry-optimized HoErAu structure (PBE, the Alexandria database).

Structure (CIF):
```
data_HoErAu
_cell_length_a 7.076
_cell_length_b 4.929
_cell_length_c 8.878
_cell_angle_alpha 90.00
_cell_angle_beta 90.00
_cell_angle_gamma 90.00
_symmetry_space_group_name_H-M 'P n m a'
_symmetry_Int_Tables_number 62
_symmetry_space_group_name_Hall '-P 2ac 2n'
loop_
_atom_site_label
_atom_site_fract_x
_atom_site_fract_y
_atom_site_fract_z
Ho1 0.014 0.250 0.177
Er1 0.149 0.250 0.580
Au1 0.243 0.250 0.901
```

Calculated values
**Calculated volume**: 309.68 Å³ per cell
**Size of the total moment**: 0.00 μB per formula unit
**Energy of formation**: -63.0 kJ/mol of atoms


# 7
# HoEr3Au4

A geometry-optimized HoEr3Au4 structure (PBE, the Alexandria database).

Structure (CIF):
```
data_HoEr3Au4
_cell_length_a 5.0463
_cell_length_b 5.0463
_cell_length_c 24.8444
_cell_angle_alpha 90.00
_cell_angle_beta 90.00
_cell_angle_gamma 120.00
_symmetry_space_group_name_H-M 'R -3 m'
_symmetry_Int_Tables_number 166
_symmetry_space_group_name_Hall '-R 3 2"'
loop_
_atom_site_label
_atom_site_fract_x
_atom_site_fract_y
_atom_site_fract_z
Ho1 0.0000 0.0000 0.0000
Er1 0.0000 0.0000 0.2499
Er2 0.0000 0.0000 0.5000
Au1 0.0000 0.0000 0.1253
Au2 0.0000 0.0000 0.3753
```

Calculated values
**Calculated volume**: 547.91 Å³ per cell
**Size of the total moment**: 0.00 μB per formula unit
**Energy of formation**: -84.8 kJ/mol of atoms


# 8
# Ho3ErAu2

A geometry-optimized Ho3ErAu2 structure (PBE, the Alexandria database).

Structure (CIF):
```
data_Ho3ErAu2
_cell_length_a 4.942
_cell_length_b 8.906
_cell_length_c 7.062
_cell_angle_alpha 90.00
_cell_angle_beta 90.00
_cell_angle_gamma 90.00
_symmetry_space_group_name_H-M 'P m c 21'
_symmetry_Int_Tables_number 26
_symmetry_space_group_name_Hall 'P 2c -2'
loop_
_atom_site_label
_atom_site_fract_x
_atom_site_fract_y
_atom_site_fract_z
Ho1 0.000 0.073 0.000
Ho2 0.000 0.331 0.363
Ho3 0.500 0.169 0.662
Er1 0.500 0.427 0.026
Au1 0.000 0.349 0.772
Au2 0.500 0.152 0.254
```

Calculated values
**Calculated volume**: 310.77 Å³ per cell
**Size of the total moment**: 0.00 μB per formula unit
**Energy of formation**: -62.5 kJ/mol of atoms


# 9
# Ho3ErAu4

A geometry-optimized Ho3ErAu4 structure (PBE, the Alexandria database).

Structure (CIF):
```
data_Ho3ErAu4
_cell_length_a 3.578
_cell_length_b 3.578
_cell_length_c 14.333
_cell_angle_alpha 90.00
_cell_angle_beta 90.00
_cell_angle_gamma 90.00
_symmetry_space_group_name_H-M 'P 4/m m m'
_symmetry_Int_Tables_number 123
_symmetry_space_group_name_Hall '-P 4 2'
loop_
_atom_site_label
_atom_site_fract_x
_atom_site_fract_y
_atom_site_fract_z
Ho1 0.000 0.000 0.000
Ho2 0.000 0.000 0.251
Er1 0.000 0.000 0.500
Au1 0.500 0.500 0.125
Au2 0.500 0.500 0.376
```

Calculated values
**Calculated volume**: 183.50 Å³ per cell
**Size of the total moment**: 0.00 μB per formula unit
**Energy of formation**: -84.1 kJ/mol of atoms


# 10
# Ho3ErAu

A geometry-optimized Ho3ErAu structure (PBE, the Alexandria database).

Structure (CIF):
```
data_Ho3ErAu
_cell_length_a 6.661
_cell_length_b 5.164
_cell_length_c 8.313
_cell_angle_alpha 90.00
_cell_angle_beta 90.16
_cell_angle_gamma 90.00
_symmetry_space_group_name_H-M 'P 1 21/m 1'
_symmetry_Int_Tables_number 11
_symmetry_space_group_name_Hall '-P 2yb'
loop_
_atom_site_label
_atom_site_fract_x
_atom_site_fract_y
_atom_site_fract_z
Ho1 0.208 0.250 0.048
Ho2 0.209 0.250 0.452
Ho3 0.278 0.750 0.750
Er1 0.419 0.750 0.249
Au1 0.003 0.250 0.749
```

Calculated values
**Calculated volume**: 285.98 Å³ per cell
**Size of the total moment**: 0.00 μB per formula unit
**Energy of formation**: -26.9 kJ/mol of atoms


# 11
# Ho3Er2Au3

A geometry-optimized Ho3Er2Au3 structure (PBE, the Alexandria database).

Structure (CIF):
```
data_Ho3Er2Au3
_cell_length_a 3.613
_cell_length_b 5.164
_cell_length_c 21.355
_cell_angle_alpha 90.00
_cell_angle_beta 90.00
_cell_angle_gamma 90.00
_symmetry_space_group_name_H-M 'I m m m'
_symmetry_Int_Tables_number 71
_symmetry_space_group_name_Hall '-I 2 2'
loop_
_atom_site_label
_atom_site_fract_x
_atom_site_fract_y
_atom_site_fract_z
Ho1 0.000 0.000 0.000
Ho2 0.000 0.500 0.118
Er1 0.000 0.000 0.229
Au1 0.000 0.000 0.500
Au2 0.000 0.500 0.382
```

Calculated values
**Calculated volume**: 398.48 Å³ per cell
**Size of the total moment**: 0.00 μB per formula unit
**Energy of formation**: -62.3 kJ/mol of atoms


# 12
# Ho3ErAu2

A geometry-optimized Ho3ErAu2 structure (PBE, the Alexandria database).

Structure (CIF):
```
data_Ho3ErAu2
_cell_length_a 6.993
_cell_length_b 13.803
_cell_length_c 7.257
_cell_angle_alpha 90.00
_cell_angle_beta 90.00
_cell_angle_gamma 90.00
_symmetry_space_group_name_H-M 'I b a m'
_symmetry_Int_Tables_number 72
_symmetry_space_group_name_Hall '-I 2 2c'
loop_
_atom_site_label
_atom_site_fract_x
_atom_site_fract_y
_atom_site_fract_z
Ho1 0.000 0.000 0.250
Ho2 0.000 0.267 0.250
Er1 0.000 0.500 0.000
Au1 0.206 0.141 0.000
```

Calculated values
**Calculated volume**: 700.41 Å³ per cell
**Size of the total moment**: 0.00 μB per formula unit
**Energy of formation**: -45.0 kJ/mol of atoms